This record from Alexandria via LeMat-Bulk describes SbAuO2 after structural relaxation. The functional is PBE-GGA.

a b c (Å): 3.5822 3.5822 18.6190
angles (deg): 90.00 90.00 120.00
Space group R-3m (No. 166, hexagonal axes)
One atom of each set of equivalent atoms:
Sb: 0.0000 0.0000 0.0000 x3
Au: 0.0000 0.0000 0.5000 x3
O: 0.0000 0.0000 0.3903 x6

Raw formation energy ... -2.4 eV/f.u.
VASP energy ... -4.920 eV per atom
Total magnetic moment ... 0.00 Bohr magnetons per cell

This record from Alexandria via LeMat-Bulk describes RbBSbS4 after structural relaxation. The functional is PBE-GGA.

a b c (Å): 6.0179 6.5618 9.0380
angles (deg): 90.00 109.14 90.00
Space group P2_1/m (No. 11)
One atom of each set of equivalent atoms:
Rb: 0.2303 0.2500 0.4311 x2
B: 0.1212 0.2500 0.8421 x2
Sb: 0.3120 0.7500 0.0367 x2
S: 0.1339 0.2500 0.0564 x2
S: 0.2008 0.7500 0.2915 x2
S: 0.2919 0.0185 0.7986 x4

Raw formation energy ... -3.4 eV/f.u.
VASP energy ... -4.532 eV per atom
Total magnetic moment ... 0.00 Bohr magnetons per cell

This record from Alexandria via LeMat-Bulk describes Sc2AlRh4 after structural relaxation. The functional is PBE-GGA.

a b c (Å): 6.0218 6.0218 6.4079
angles (deg): 90.00 90.00 90.00
Space group I4/mmm (No. 139)
One atom of each set of equivalent atoms:
Sc: 0.0000 0.5000 0.0000 x4
Al: 0.0000 0.0000 0.0000 x2
Rh: 0.2500 0.2500 0.2500 x8

VASP energy ... -7.199 eV per atom
Calculated formation energy ... -0.65 eV per atom
Total magnetic moment ... 0.00 Bohr magnetons per cell

This record from Alexandria via LeMat-Bulk describes K2FeMo after structural relaxation. The functional is PBE-GGA.

a b c (Å): 3.2899 6.1631 11.9754
angles (deg): 90.00 90.00 90.00
Space group Imm2 (No. 44)
One atom of each set of equivalent atoms:
K: 0.0000 0.0000 0.0000 x2
K: 0.0000 0.5000 0.2019 x2
Fe: 0.0000 0.0000 0.4340 x2
Mo: 0.0000 0.5000 0.8139 x2

E above lowest polymorph ... 275 meV per atom
VASP energy ... -4.244 eV per atom
Calculated formation energy ... 1.13 eV per atom
Total magnetic moment ... 3.43 Bohr magnetons per cell

Which value of total magnetic moment does entry 3 give?
0.00 Bohr magnetons per cell

Number 2 is which compound?
RbBSbS4